# 1
Here is a relaxed structure of VSiP3 from Alexandria. Energies are from GGA-PBE.

Properties
Space-group type: Pm-3m (221)
Raw total energy, eV per atom: -5.33
Relative energy among the computed polymorphs, meV per atom: 240

Cell lengths 4.4738, 4.4738, 4.4738 Å; angles 90.00, 90.00, 90.00 degrees
Last column: nearest neighbours and their distance in Å.
Positions (direct):
P: 0.0000 0.0000 0.5000  2 Si 2.24
V: 0.5000 0.5000 0.5000  12 P 3.16
Si: 0.0000 0.0000 0.0000  6 P 2.24
P: 0.0000 0.5000 0.0000  2 Si 2.24
P: 0.5000 0.0000 0.0000  2 Si 2.24


# 2
Here is a relaxed structure of VSi2P from Alexandria. Energies are from GGA-PBE.

Properties
Space-group type: I-42d (122)
Raw total energy, eV per atom: -6.11

Cell lengths 6.7560, 6.7560, 5.4025 Å; angles 51.30, 51.30, 90.00 degrees
Last column: nearest neighbours and their distance in Å.
Positions (direct):
Si: 0.3750 0.3927 0.7500  2 P 2.39, 2 Si 2.53, 2 V 2.55
V: 0.7500 0.2500 0.5000  2 P 2.52, 4 Si 2.55
P: 0.5000 0.5000 0.0000  4 Si 2.39, 2 V 2.52
Si: 0.8750 0.8573 0.7500  2 P 2.39, 2 Si 2.53, 2 V 2.55
V: 0.0000 0.0000 0.0000  2 P 2.52, 4 Si 2.55
Si: 0.1427 0.6250 0.2500  2 P 2.39, 2 Si 2.53, 2 V 2.55
P: 0.2500 0.7500 0.5000  4 Si 2.39, 2 V 2.52
Si: 0.6073 0.1250 0.2500  2 P 2.39, 2 Si 2.53, 2 V 2.55


# 3
Here is a relaxed structure of V2SiP from Alexandria. Energies are from GGA-PBE.

Properties
Space-group type: Fm-3m (225)
Raw total energy, eV per atom: -7.50
Relative energy among the computed polymorphs, meV per atom: 252

Cell lengths 4.1880, 4.1880, 4.1880 Å; angles 60.00, 60.00, 60.00 degrees
Last column: nearest neighbours and their distance in Å.
Positions (direct):
Si: 0.0000 0.0000 0.0000  8 V 2.56
V: 0.7500 0.7500 0.7500  4 P 2.56, 4 Si 2.56
P: 0.5000 0.5000 0.5000  8 V 2.56
V: 0.2500 0.2500 0.2500  4 P 2.56, 4 Si 2.56


# 4
Here is a relaxed structure of V6Si2P from Alexandria. Energies are from GGA-PBE.

Properties
Space-group type: P2_1/c (14)
Raw total energy, eV per atom: -8.23

Cell lengths 5.0391, 6.1574, 7.9433 Å; angles 90.00, 90.30, 90.00 degrees
Last column: nearest neighbours and their distance in Å.
Positions (direct):
Si: 0.5898 0.8791 0.7458  8 V 2.44-2.66
V: 0.3326 0.8490 0.0357  1 P 2.33, 2 Si 2.44-2.51, 3 V 2.52-2.58
Si: 0.9102 0.3791 0.7542  8 V 2.44-2.66
V: 0.8326 0.6510 0.5357  1 P 2.33, 2 Si 2.44-2.51, 3 V 2.52-2.58
V: 0.1311 0.0129 0.7739  1 P 2.27, 2 Si 2.47-2.52, 1 V 2.52
V: 0.6201 0.1903 0.5452  1 P 2.27, 2 Si 2.49-2.50
P: 0.0000 0.0000 0.5000  6 V 2.27-2.33
V: 0.6674 0.1510 0.9643  1 P 2.33, 2 Si 2.44-2.51, 3 V 2.52-2.58
V: 0.8689 0.9871 0.2261  1 P 2.27, 2 Si 2.47-2.52, 1 V 2.52
V: 0.6311 0.4871 0.2739  1 P 2.27, 2 Si 2.47-2.52, 1 V 2.52
Si: 0.4102 0.1209 0.2542  8 V 2.44-2.66
V: 0.3799 0.8097 0.4548  1 P 2.27, 2 Si 2.49-2.50
P: 0.5000 0.5000 0.0000  6 V 2.27-2.33
V: 0.1674 0.3490 0.4643  1 P 2.33, 2 Si 2.44-2.51, 3 V 2.52-2.58
V: 0.3689 0.5129 0.7261  1 P 2.27, 2 Si 2.47-2.52, 1 V 2.52
V: 0.8799 0.6903 0.9548  1 P 2.27, 2 Si 2.49-2.50
V: 0.1201 0.3097 0.0452  1 P 2.27, 2 Si 2.49-2.50
Si: 0.0898 0.6209 0.2458  8 V 2.44-2.66


# 5
Here is a relaxed structure of V2ZnSiP from Alexandria. Energies are from GGA-PBE.

Properties
Space-group type: P4/mmm (123)
Raw total energy, eV per atom: -5.61

Cell lengths 4.4599, 4.3266, 4.4599 Å; angles 90.00, 90.00, 90.00 degrees
Last column: nearest neighbours and their distance in Å.
Positions (direct):
V: 0.5000 0.0000 0.0000  2 P 2.23
Zn: 0.0000 0.5000 0.0000  2 P 2.16
P: 0.0000 0.0000 0.0000  2 Zn 2.16, 4 V 2.23
V: 0.0000 0.0000 0.5000  2 P 2.23
Si: 0.5000 0.5000 0.5000  8 V 3.11, 4 Zn 3.15


# 6
Here is a relaxed structure of SiP2W from Alexandria. Energies are from GGA-PBE.

Properties
Space-group type: Imm2 (44)
Raw total energy, eV per atom: -7.06

Cell lengths 4.7466, 4.7466, 4.7466 Å; angles 141.07, 124.15, 70.17 degrees
Last column: nearest neighbours and their distance in Å.
Positions (direct):
P: 0.7503 0.2503 0.5000  2 Si 2.34, 2 P 2.37
Si: 0.5286 0.5286 0.0000  2 P 2.34
W: 0.2432 0.7432 0.5000  8 P 2.60-2.87, 4 Si 2.72-2.78
P: 0.9779 0.9779 0.0000  2 P 2.37, 2 W 2.60


# 7
Here is a relaxed structure of SiPW2 from Alexandria. Energies are from GGA-PBE.

Properties
Space-group type: Cmm2 (35)
Raw total energy, eV per atom: -8.91
Relative energy among the computed polymorphs, meV per atom: 549

Cell lengths 2.7725, 2.7725, 8.4023 Å; angles 90.00, 90.00, 109.35 degrees
Last column: nearest neighbours and their distance in Å.
Positions (direct):
Si: 0.5000 0.5000 0.7534  2 W 2.58, 2 P 2.72, 4 Si 2.77
W: 0.5000 0.5000 0.2613  2 P 2.51, 6 W 2.76-2.77
P: 0.0000 0.0000 0.4912  2 W 2.51, 2 Si 2.72, 4 P 2.77
W: 0.0000 0.0000 0.9941  2 Si 2.58, 6 W 2.76-2.77


# 8
Here is a relaxed structure of SiP2W from Alexandria. Energies are from GGA-PBE.

Properties
Space-group type: Cmmm (65)
Raw total energy, eV per atom: -6.80

Cell lengths 2.7766, 2.7766, 8.6255 Å; angles 90.00, 90.00, 110.12 degrees
Last column: nearest neighbours and their distance in Å.
Positions (direct):
W: 0.5000 0.5000 0.7500  4 P 2.51, 4 W 2.78
P: 0.0000 0.0000 0.9750  2 W 2.51, 4 P 2.78
P: 0.0000 0.0000 0.5250  2 W 2.51, 4 P 2.78
Si: 0.5000 0.5000 0.2500  4 Si 2.78, 4 P 2.86


# 9
Here is a relaxed structure of SiPW2 from Alexandria. Energies are from GGA-PBE.

Properties
Space-group type: Fm-3m (225)
Raw total energy, eV per atom: -9.15
Relative energy among the computed polymorphs, meV per atom: 318

Cell lengths 4.3030, 4.3030, 4.3030 Å; angles 60.00, 60.00, 60.00 degrees
Last column: nearest neighbours and their distance in Å.
Positions (direct):
P: 0.5000 0.5000 0.5000  8 W 2.64
Si: 0.0000 0.0000 0.0000  8 W 2.64
W: 0.7500 0.7500 0.7500  4 Si 2.64, 4 P 2.64
W: 0.2500 0.2500 0.2500  4 P 2.64, 4 Si 2.64


# 10
Here is a relaxed structure of SiP2W from Alexandria. Energies are from GGA-PBE.

Properties
Space-group type: R-3m (166)
Raw total energy, eV per atom: -7.21

Cell lengths 6.8618, 6.8618, 6.8618 Å; angles 27.06, 27.06, 27.06 degrees
Last column: nearest neighbours and their distance in Å.
Positions (direct):
Si: 0.2500 0.2500 0.2500  6 P 2.45
P: 0.5027 0.5027 0.5027  3 Si 2.45, 3 W 2.52
P: 0.9973 0.9973 0.9973  3 Si 2.45, 3 W 2.52
W: 0.7500 0.7500 0.7500  6 P 2.52


# 11
Here is a relaxed structure of SiPW2 from Alexandria. Energies are from GGA-PBE.

Properties
Space-group type: I-42d (122)
Raw total energy, eV per atom: -8.77
Relative energy among the computed polymorphs, meV per atom: 694

Cell lengths 3.8163, 3.8163, 9.1289 Å; angles 77.93, 77.93, 90.00 degrees
Last column: nearest neighbours and their distance in Å.
Positions (direct):
W: 0.3750 0.3691 0.7500  2 P 2.56, 2 Si 2.57, 4 W 2.67-2.73
Si: 0.5000 0.5000 0.0000  4 W 2.57, 4 P 2.70
P: 0.7500 0.2500 0.5000  4 W 2.56, 4 Si 2.70
P: 0.0000 0.0000 0.0000  4 W 2.56, 4 Si 2.70
Si: 0.2500 0.7500 0.5000  4 W 2.57, 4 P 2.70
W: 0.1191 0.6250 0.2500  2 P 2.56, 2 Si 2.57, 4 W 2.67-2.73
W: 0.6309 0.1250 0.2500  2 P 2.56, 2 Si 2.57, 4 W 2.67-2.73
W: 0.8750 0.8809 0.7500  2 P 2.56, 2 Si 2.57, 4 W 2.67-2.73


# 12
Here is a relaxed structure of SiPW2 from Alexandria. Energies are from GGA-PBE.

Properties
Space-group type: I-4m2 (119)
Raw total energy, eV per atom: -8.87
Relative energy among the computed polymorphs, meV per atom: 591

Cell lengths 4.7114, 4.7114, 4.7114 Å; angles 130.91, 130.91, 71.96 degrees
Last column: nearest neighbours and their distance in Å.
Positions (direct):
P: 0.5000 0.5000 0.0000  8 W 2.73-2.77, 4 Si 2.73
Si: 0.7500 0.2500 0.5000  4 P 2.73, 8 W 2.73-2.77
W: 0.2500 0.7500 0.5000  4 W 2.73, 4 P 2.73, 4 Si 2.77
W: 0.0000 0.0000 0.0000  4 Si 2.73, 4 W 2.73, 4 P 2.77


Question: What is the raw total energy in the tenth record?
Answer: -7.21 eV per atom


Question: The highest raw total energy belongs to which entry?
Answer: VSiP3